[1]
VASP calculation (PBE) on crystalline NaMgTa2 at its relaxed geometry.

Structure (extended XYZ):
```
16
Lattice="7.982 0.000 0.000 0.000 7.982 0.000 0.000 0.000 5.272" Properties=species:S:1:pos:R:3 pbc="T T T"
Na 0.000 0.000 0.000
Na 0.000 3.991 1.318
Na 3.991 0.000 3.954
Na 3.991 3.991 2.636
Mg 0.000 0.000 2.636
Mg 0.000 3.991 3.954
Mg 3.991 0.000 1.318
Mg 3.991 3.991 0.000
Ta 1.961 1.996 3.295
Ta 1.996 5.952 4.613
Ta 1.996 6.021 1.977
Ta 2.030 1.996 0.659
Ta 5.952 5.987 0.659
Ta 5.987 1.961 1.977
Ta 5.987 2.030 4.613
Ta 6.021 5.987 3.295
```

Calculated values
magnetic moment = 0.00 μB per cell
uncorrected energy = -5.35 eV per atom
crystal system = tetragonal
formation enthalpy at 0 K = 1.3052 eV per atom
space group = I-42d


[2]
VASP calculation (PBE) on crystalline NaMgTa at its relaxed geometry.

Structure (extended XYZ):
```
6
Lattice="2.921 0.000 0.000 -0.006 5.660 0.000 -0.038 -0.378 8.169" Properties=species:S:1:pos:R:3 pbc="T T T"
Na 0.729 1.364 0.031
Na 2.149 3.918 8.137
Mg 0.709 3.086 2.809
Mg 2.169 2.196 5.360
Ta 0.705 5.093 5.146
Ta 2.172 0.189 3.023
```

Calculated values
magnetic moment = 0.00 μB per cell
uncorrected energy = -4.45 eV per atom
crystal system = triclinic
formation enthalpy at 0 K = 0.4717 eV per atom
space group = P-1
relative energy among the computed polymorphs = 0.261 eV/atom


[3]
VASP calculation (PBE) on crystalline Na3MgTa at its relaxed geometry.

Structure (extended XYZ):
```
5
Lattice="5.550 0.000 0.000 0.000 5.550 0.000 0.000 0.000 5.550" Properties=species:S:1:pos:R:3 pbc="T T T"
Na 0.000 0.000 2.775
Na 0.000 2.775 0.000
Na 2.775 0.000 0.000
Mg 0.000 0.000 0.000
Ta 2.775 2.775 2.775
```

Calculated values
magnetic moment = 3.96 μB per cell
uncorrected energy = -1.99 eV per atom
crystal system = cubic
formation enthalpy at 0 K = 1.4904 eV per atom
space group = Pm-3m
relative energy among the computed polymorphs = 0.008 eV/atom


[4]
VASP calculation (PBE) on crystalline NaMgTa at its relaxed geometry.

Structure (extended XYZ):
```
6
Lattice="5.093 0.000 0.000 -2.547 4.411 0.000 0.000 0.000 5.747" Properties=species:S:1:pos:R:3 pbc="T T T"
Na 0.000 0.000 0.000
Na 0.000 0.000 2.874
Mg 0.000 2.941 1.437
Mg 2.547 1.470 4.311
Ta 0.000 2.941 4.311
Ta 2.547 1.470 1.437
```

Calculated values
magnetic moment = 0.00 μB per cell
uncorrected energy = -3.75 eV per atom
crystal system = hexagonal
formation enthalpy at 0 K = 1.1684 eV per atom
space group = P6_3/mmc
relative energy among the computed polymorphs = 0.957 eV/atom


[5]
VASP calculation (PBE) on crystalline NaMgTa at its relaxed geometry.

Structure (extended XYZ):
```
6
Lattice="4.110 0.000 0.000 -2.055 3.560 0.000 0.000 0.000 11.233" Properties=species:S:1:pos:R:3 pbc="T T T"
Na 0.000 2.373 2.808
Na 2.055 1.187 8.425
Mg 0.000 0.000 2.808
Mg 0.000 0.000 8.425
Ta 0.000 0.000 0.000
Ta 0.000 0.000 5.617
```

Calculated values
magnetic moment = 0.00 μB per cell
uncorrected energy = -2.55 eV per atom
crystal system = hexagonal
formation enthalpy at 0 K = 2.3749 eV per atom
space group = P6_3/mmc
relative energy among the computed polymorphs = 2.164 eV/atom


[6]
VASP calculation (PBE) on crystalline NaMgTa at its relaxed geometry.

Structure (extended XYZ):
```
6
Lattice="2.990 0.000 0.000 1.030 2.808 0.000 0.117 0.009 16.161" Properties=species:S:1:pos:R:3 pbc="T T T"
Na 0.000 0.000 0.000
Na 1.933 1.308 3.187
Mg 2.075 1.414 13.235
Mg 3.916 2.708 10.623
Ta 1.912 1.302 8.170
Ta 3.924 2.705 6.058
```

Calculated values
magnetic moment = 0.00 μB per cell
uncorrected energy = -4.68 eV per atom
crystal system = triclinic
formation enthalpy at 0 K = 0.2382 eV per atom
space group = P1
relative energy among the computed polymorphs = 0.027 eV/atom


[7]
VASP calculation (PBE) on crystalline NaMgTa at its relaxed geometry.

Structure (extended XYZ):
```
6
Lattice="3.423 0.000 0.000 0.007 3.433 0.000 0.030 0.016 12.952" Properties=species:S:1:pos:R:3 pbc="T T T"
Na 0.000 0.000 0.000
Na 1.720 1.719 9.934
Mg 1.718 1.718 2.511
Mg 3.433 3.434 4.442
Ta 1.719 1.717 6.238
Ta 3.433 3.434 7.477
```

Calculated values
magnetic moment = 0.00 μB per cell
uncorrected energy = -4.57 eV per atom
crystal system = triclinic
formation enthalpy at 0 K = 0.3556 eV per atom
space group = P1
relative energy among the computed polymorphs = 0.145 eV/atom


[8]
VASP calculation (PBE) on crystalline NaMgTa at its relaxed geometry.

Structure (extended XYZ):
```
6
Lattice="3.676 0.000 0.000 0.000 3.676 0.000 0.000 0.000 11.625" Properties=species:S:1:pos:R:3 pbc="T T T"
Na 0.919 0.919 2.793
Na 2.757 2.757 8.832
Mg 0.919 2.757 5.813
Mg 2.757 0.919 5.813
Ta 0.919 0.919 11.159
Ta 2.757 2.757 0.467
```

Calculated values
magnetic moment = 0.00 μB per cell
uncorrected energy = -4.16 eV per atom
crystal system = tetragonal
formation enthalpy at 0 K = 0.7622 eV per atom
space group = P4/nmm
relative energy among the computed polymorphs = 0.551 eV/atom


[9]
VASP calculation (PBE) on crystalline NaMgTa3 at its relaxed geometry.

Structure (extended XYZ):
```
5
Lattice="4.863 0.000 0.000 0.000 4.863 0.000 0.000 0.000 4.863" Properties=species:S:1:pos:R:3 pbc="T T T"
Na 0.000 0.000 0.000
Mg 2.432 2.432 2.432
Ta 0.000 2.432 2.432
Ta 2.432 0.000 2.432
Ta 2.432 2.432 0.000
```

Calculated values
magnetic moment = 0.00 μB per cell
uncorrected energy = -5.61 eV per atom
crystal system = cubic
formation enthalpy at 0 K = 2.0801 eV per atom
space group = Pm-3m
relative energy among the computed polymorphs = 0.000 eV/atom


[10]
VASP calculation (PBE) on crystalline NaMgTa at its relaxed geometry.

Structure (extended XYZ):
```
12
Lattice="11.644 0.000 0.000 0.000 5.133 0.000 0.000 0.000 5.350" Properties=species:S:1:pos:R:3 pbc="T T T"
Na 2.769 1.283 0.012
Na 3.053 3.850 2.687
Na 8.591 1.283 2.663
Na 8.875 3.850 5.338
Mg 0.000 0.000 2.675
Mg 0.000 2.566 2.675
Mg 5.822 0.000 0.000
Mg 5.822 2.566 0.000
Ta 0.385 3.850 0.000
Ta 5.437 1.283 2.675
Ta 6.207 3.850 2.675
Ta 11.259 1.283 5.350
```

Calculated values
magnetic moment = 0.00 μB per cell
uncorrected energy = -4.07 eV per atom
crystal system = orthorhombic
formation enthalpy at 0 K = 0.8534 eV per atom
space group = Pnma
relative energy among the computed polymorphs = 0.642 eV/atom


[11]
VASP calculation (PBE) on crystalline NaMgTa at its relaxed geometry.

Structure (extended XYZ):
```
12
Lattice="4.835 0.000 0.000 0.000 5.521 0.000 0.000 0.000 10.144" Properties=species:S:1:pos:R:3 pbc="T T T"
Na 1.209 1.380 1.642
Na 1.208 4.141 6.715
Na 3.627 1.380 3.430
Na 3.626 4.141 8.502
Mg 1.208 1.380 5.169
Mg 1.210 4.141 0.097
Mg 3.625 1.380 10.047
Mg 3.627 4.141 4.975
Ta 1.204 1.380 8.106
Ta 1.213 4.141 3.034
Ta 3.622 1.380 7.111
Ta 3.631 4.141 2.039
```

Calculated values
magnetic moment = 0.00 μB per cell
uncorrected energy = -4.16 eV per atom
crystal system = orthorhombic
formation enthalpy at 0 K = 0.7610 eV per atom
space group = Pnma
relative energy among the computed polymorphs = 0.550 eV/atom


[12]
VASP calculation (PBE) on crystalline NaMgTa at its relaxed geometry.

Structure (extended XYZ):
```
3
Lattice="5.320 0.000 0.000 -2.660 4.607 0.000 0.000 0.000 2.690" Properties=species:S:1:pos:R:3 pbc="T T T"
Na 0.000 0.000 0.000
Mg 0.000 3.071 1.345
Ta 2.660 1.536 1.345
```

Calculated values
magnetic moment = 0.00 μB per cell
uncorrected energy = -4.02 eV per atom
crystal system = hexagonal
formation enthalpy at 0 K = 0.9033 eV per atom
space group = P-6m2
relative energy among the computed polymorphs = 0.692 eV/atom


> Among the records above, which one has the highest uncorrected energy?

Na3MgTa


> Look up the formation enthalpy at 0 K of the ninth one.

2.0801 eV per atom


> Among the records above, which one has the highest magnetic moment?

Na3MgTa